The following is a GGA+U calculation of a relaxed structure of VInF5, from Alexandria via LeMat-Bulk.

Computed properties:
DFT total energy: -5.3443 eV/atom
Crystal system: monoclinic
Total moment: 3.000 μB/f.u.
ρ: 4.17 g/cm³
Space-group type: C2/c

Cell and atoms, written as extended XYZ:
```
14
Lattice="-1.7422 3.9114 -3.6130 -5.2364 -1.3669 -1.4490 -4.8142 4.6344 3.5304" Properties=species:S:1:pos:R:3 pbc="T T T"
V 0.0000 0.0000 0.0000
V -2.4071 2.3172 1.7652
In -6.9501 4.9745 0.0240
In -4.8427 2.2045 -1.5556
F -5.7622 4.8526 1.6748
F -6.8333 2.8376 -0.2954
F -3.6447 2.0979 0.0890
F -5.8106 6.6957 -0.6817
F -8.6566 4.7101 1.3278
F -3.1363 2.4689 -2.8594
F -5.9822 0.4833 -0.8499
F -8.1482 5.0811 -1.6207
F -4.9595 4.3414 -1.2362
F -6.0307 2.3263 -3.2065
```